Record 1
The following is a PBE calculation of a geometry-optimized Be3FeBi structure, from the Alexandria database.

Results
* density of states at the Fermi level: 2.7 states/eV/f.u.
* ΔE to the lowest computed polymorph: 0 meV/atom
* SG: No. 221
* energy relative to the elements: 0.66 eV/atom

Cell and atoms, written as extended XYZ:
```
5
Lattice="4.1586 0.0000 0.0000 0.0000 4.1586 0.0000 0.0000 0.0000 4.1586" Properties=species:S:1:pos:R:3 pbc="T T T"
Be 0.0000 0.0000 2.0793
Be 2.0793 0.0000 0.0000
Be 0.0000 2.0793 0.0000
Bi 2.0793 2.0793 2.0793
Fe 0.0000 0.0000 0.0000
```

Record 2
The following is a PBE calculation of a geometry-optimized BeFe2Bi structure, from the Alexandria database.

Results
* density of states at the Fermi level: 3.1 states/eV/f.u.
* ΔE to the lowest computed polymorph: 88 meV/atom
* SG: No. 122
* energy relative to the elements: 0.66 eV/atom

Cell and atoms, written as extended XYZ:
```
8
Lattice="3.8831 0.0000 0.0000 0.0000 3.8831 0.0000 1.9415 1.9415 8.2854" Properties=species:S:1:pos:R:3 pbc="T T T"
Bi 0.0000 0.0000 0.0000
Bi 3.8831 1.9415 4.1427
Fe 4.8538 3.3177 6.2141
Fe 2.9123 4.4485 6.2141
Fe 2.5069 2.9123 2.0714
Fe 1.3761 0.9708 2.0714
Be 1.9415 1.9415 0.0000
Be 1.9415 3.8831 4.1427
```

Record 3
The following is a PBE calculation of a geometry-optimized Be2Fe4Bi structure, from the Alexandria database.

Results
* density of states at the Fermi level: 9.0 states/eV/f.u.
* SG: No. 139
* energy relative to the elements: 1.45 eV/atom

Cell and atoms, written as extended XYZ:
```
7
Lattice="4.7025 0.0000 0.0000 0.0000 4.7025 0.0000 2.3512 2.3512 5.8628" Properties=species:S:1:pos:R:3 pbc="T T T"
Fe 4.7025 4.7025 2.7023
Fe 2.3512 2.3512 3.1605
Fe 0.0000 2.3512 0.0000
Fe 2.3512 0.0000 0.0000
Be 2.3512 2.3512 1.0034
Be 4.7025 4.7025 4.8594
Bi 0.0000 0.0000 0.0000
```

Record 4
The following is a PBE calculation of a geometry-optimized BeFe3Bi structure, from the Alexandria database.

Results
* density of states at the Fermi level: 8.5 states/eV/f.u.
* ΔE to the lowest computed polymorph: 1421 meV/atom
* SG: No. 221
* energy relative to the elements: 1.93 eV/atom

Cell and atoms, written as extended XYZ:
```
5
Lattice="4.8664 0.0000 0.0000 0.0000 4.8664 0.0000 0.0000 0.0000 4.8664" Properties=species:S:1:pos:R:3 pbc="T T T"
Bi 0.0000 0.0000 0.0000
Be 2.4332 2.4332 2.4332
Fe 0.0000 0.0000 2.4332
Fe 2.4332 0.0000 0.0000
Fe 0.0000 2.4332 0.0000
```

Record 5
The following is a PBE calculation of a geometry-optimized BeFeBi3 structure, from the Alexandria database.

Results
* density of states at the Fermi level: 2.3 states/eV/f.u.
* ΔE to the lowest computed polymorph: 0 meV/atom
* SG: No. 221
* energy relative to the elements: 0.88 eV/atom

Cell and atoms, written as extended XYZ:
```
5
Lattice="5.1074 0.0000 0.0000 0.0000 5.1074 0.0000 0.0000 0.0000 5.1074" Properties=species:S:1:pos:R:3 pbc="T T T"
Bi 0.0000 2.5537 0.0000
Bi 2.5537 0.0000 0.0000
Bi 0.0000 0.0000 2.5537
Be 2.5537 2.5537 2.5537
Fe 0.0000 0.0000 0.0000
```

Record 6
The following is a PBE calculation of a geometry-optimized Be3FeBi structure, from the Alexandria database.

Results
* density of states at the Fermi level: 7.1 states/eV/f.u.
* ΔE to the lowest computed polymorph: 1231 meV/atom
* SG: No. 221
* energy relative to the elements: 1.89 eV/atom

Cell and atoms, written as extended XYZ:
```
5
Lattice="-0.0756 -4.6941 0.3803 3.7014 0.1759 2.9075 -2.9118 0.3455 3.6860" Properties=species:S:1:pos:R:3 pbc="T T T"
Fe 0.3570 -2.0863 3.4869
Be -0.0378 -2.3470 0.1901
Be -1.4559 0.1728 1.8430
Be 1.8507 0.0879 1.4537
Bi 0.0000 0.0000 0.0000
```

Record 7
The following is a PBE calculation of a geometry-optimized BeGaFeBi2 structure, from the Alexandria database.

Results
* density of states at the Fermi level: 8.2 states/eV/f.u.
* SG: No. 123
* energy relative to the elements: 0.99 eV/atom

Cell and atoms, written as extended XYZ:
```
5
Lattice="-0.6905 5.4676 -0.8685 -3.4488 -0.0860 2.2002 2.9218 1.1033 4.6229" Properties=species:S:1:pos:R:3 pbc="T T T"
Ga 0.0000 0.0000 0.0000
Bi -0.3452 2.7338 -0.4343
Bi 1.4609 0.5517 2.3115
Fe -0.6087 3.2425 2.9773
Be -1.7244 -0.0430 1.1001
```

Record 8
The following is a PBE calculation of a geometry-optimized HfBeFeBi2 structure, from the Alexandria database.

Results
* density of states at the Fermi level: 8.6 states/eV/f.u.
* SG: No. 123
* energy relative to the elements: 1.26 eV/atom

Cell and atoms, written as extended XYZ:
```
5
Lattice="-3.4778 0.2911 4.3412 3.3407 -1.9530 2.8072 1.9444 5.0757 1.2174" Properties=species:S:1:pos:R:3 pbc="T T T"
Bi 0.9722 2.5379 0.6087
Bi -1.7389 0.1455 2.1706
Fe 0.9037 1.7069 4.1829
Be 1.6703 -0.9765 1.4036
Hf 0.0000 0.0000 0.0000
```

Record 9
The following is a PBE calculation of a geometry-optimized BeInFe2Bi structure, from the Alexandria database.

Results
* density of states at the Fermi level: 8.0 states/eV/f.u.
* SG: No. 123
* energy relative to the elements: 2.05 eV/atom

Cell and atoms, written as extended XYZ:
```
5
Lattice="4.8177 0.0000 0.0000 0.0000 5.7658 0.0000 0.0000 0.0000 4.8177" Properties=species:S:1:pos:R:3 pbc="T T T"
In 0.0000 2.8829 0.0000
Fe 2.4088 0.0000 0.0000
Fe 0.0000 0.0000 2.4088
Bi 0.0000 0.0000 0.0000
Be 2.4088 2.8829 2.4088
```

Record 10
The following is a PBE calculation of a geometry-optimized LaBeFeBi2 structure, from the Alexandria database.

Results
* density of states at the Fermi level: 5.0 states/eV/f.u.
* SG: No. 123
* energy relative to the elements: 0.14 eV/atom

Cell and atoms, written as extended XYZ:
```
5
Lattice="5.2197 0.0000 0.0000 0.0000 4.3173 0.0000 0.0000 0.0000 5.2197" Properties=species:S:1:pos:R:3 pbc="T T T"
Fe 0.0000 0.0000 0.0000
Be 0.0000 2.1586 0.0000
La 2.6099 2.1586 2.6099
Bi 2.6099 0.0000 0.0000
Bi 0.0000 0.0000 2.6099
```

Record 11
The following is a PBE calculation of a geometry-optimized BeFeNi2Bi structure, from the Alexandria database.

Results
* density of states at the Fermi level: 6.9 states/eV/f.u.
* ΔE to the lowest computed polymorph: 423 meV/atom
* SG: No. 123
* energy relative to the elements: 0.73 eV/atom

Cell and atoms, written as extended XYZ:
```
5
Lattice="4.0135 0.0000 0.0000 0.0000 4.0135 0.0000 0.0000 0.0000 4.7923" Properties=species:S:1:pos:R:3 pbc="T T T"
Bi 0.0000 0.0000 2.3961
Ni 0.0000 2.0067 0.0000
Ni 2.0067 0.0000 0.0000
Be 0.0000 0.0000 0.0000
Fe 2.0067 2.0067 2.3961
```

Record 12
The following is a PBE calculation of a geometry-optimized BeFeNi2Bi structure, from the Alexandria database.

Results
* density of states at the Fermi level: 4.2 states/eV/f.u.
* ΔE to the lowest computed polymorph: 0 meV/atom
* SG: No. 123
* energy relative to the elements: 0.31 eV/atom

Cell and atoms, written as extended XYZ:
```
5
Lattice="4.0834 0.0000 0.0000 0.0000 4.0834 0.0000 0.0000 0.0000 4.1587" Properties=species:S:1:pos:R:3 pbc="T T T"
Ni 0.0000 2.0417 0.0000
Ni 2.0417 0.0000 0.0000
Bi 2.0417 2.0417 2.0794
Be 0.0000 0.0000 0.0000
Fe 0.0000 0.0000 2.0794
```

Record 13
The following is a PBE calculation of a geometry-optimized Be2FeBiRu structure, from the Alexandria database.

Results
* density of states at the Fermi level: 3.8 states/eV/f.u.
* SG: No. 123
* energy relative to the elements: 0.74 eV/atom

Cell and atoms, written as extended XYZ:
```
5
Lattice="-3.8060 0.8439 -1.5385 0.8245 -2.6374 -3.4864 -1.5735 -3.2679 2.1000" Properties=species:S:1:pos:R:3 pbc="T T T"
Be -1.9030 0.4220 -0.7692
Be -0.7867 -1.6339 1.0500
Ru 0.4122 -1.3187 -1.7432
Bi -2.2775 -2.5307 -1.4624
Fe 0.0000 0.0000 0.0000
```

Record 14
The following is a PBE calculation of a geometry-optimized BeVFe2Bi structure, from the Alexandria database.

Results
* density of states at the Fermi level: 6.0 states/eV/f.u.
* SG: No. 123
* energy relative to the elements: 1.03 eV/atom

Cell and atoms, written as extended XYZ:
```
5
Lattice="-2.7737 2.5802 2.1212 -1.7549 -3.5653 2.0422 2.8721 0.4347 3.2269" Properties=species:S:1:pos:R:3 pbc="T T T"
Fe 1.4360 0.2173 1.6134
Fe -1.3868 1.2901 1.0606
V 0.0000 0.0000 0.0000
Be -0.8774 -1.7826 1.0211
Bi -0.8282 -0.2752 3.6951
```